This record from Alexandria via LeMat-Bulk describes an optimized crystal structure of Sr2CaTa. The functional is PBE.

Values from the calculation:
As for the total moment: 3.132 μB/cell. As for the energy above the most stable polymorph in this dataset: 155 meV per atom. As for the total energy: -13.8 eV per cell. For the calculated volume, the calculation gives 36.1 A^3/atom.

abc: 6.4127 6.4127 6.4127
angles: 131.60 131.60 70.85
Closest atoms and distances in Å follow each position.
Atoms (fractional coordinates):
Ca: 0.7500 0.2500 0.5000  8 Sr 3.71, 4 Ta 3.72
Sr: 0.5000 0.5000 0.0000  4 Ca 3.71, 4 Ta 3.71, 4 Sr 3.72
Sr: 0.0000 0.0000 0.0000  4 Ta 3.71, 4 Ca 3.71, 4 Sr 3.72
Ta: 0.2500 0.7500 0.5000  8 Sr 3.71, 4 Ca 3.72


This record from Alexandria via LeMat-Bulk describes an optimized crystal structure of Sr2CaTa. The functional is PBE.

Values from the calculation:
As for the total moment: 2.000 μB/cell. As for the energy above the most stable polymorph in this dataset: 189 meV per atom. As for the total energy: -13.6 eV per cell. For the calculated volume, the calculation gives 34.9 A^3/atom.

abc: 6.5598 6.5598 3.5207
angles: 90.00 90.00 112.68
Closest atoms and distances in Å follow each position.
Atoms (fractional coordinates):
Sr: 0.5000 0.5000 0.0000  4 Sr 3.52-3.64, 4 Ta 3.72, 4 Ca 3.72
Sr: 0.0000 0.0000 0.0000  4 Sr 3.52-3.64, 4 Ca 3.72, 4 Ta 3.72
Ca: 0.0000 0.5000 0.5000  2 Ca 3.52, 2 Ta 3.64, 8 Sr 3.72
Ta: 0.5000 0.0000 0.5000  2 Ta 3.52, 2 Ca 3.64, 8 Sr 3.72


This record from Alexandria via LeMat-Bulk describes an optimized crystal structure of SrCa4Ta. The functional is PBE.

Values from the calculation:
As for the total moment: 4.638 μB/cell. As for the total energy: -16.9 eV per cell. For the calculated volume, the calculation gives 37.2 A^3/atom.

abc: 6.8063 6.8063 6.8063
angles: 60.00 60.00 60.00
Closest atoms and distances in Å follow each position.
Atoms (fractional coordinates):
Ta: 0.0000 0.0000 0.0000  12 Ca 3.99, 4 Sr 4.17
Ca: 0.3740 0.3740 0.3740  6 Ca 3.38-3.43
Ca: 0.3740 0.8780 0.3740  6 Ca 3.38-3.43
Ca: 0.3740 0.3740 0.8780  6 Ca 3.38-3.43
Ca: 0.8780 0.3740 0.3740  6 Ca 3.38-3.43
Sr: 0.7500 0.7500 0.7500  12 Ca 3.99, 4 Ta 4.17


This record from Alexandria via LeMat-Bulk describes an optimized crystal structure of Sr2CaTa. The functional is PBE.

Values from the calculation:
As for the total moment: 0.966 μB/cell. As for the energy above the most stable polymorph in this dataset: 0 meV per atom. As for the total energy: -14.4 eV per cell. For the calculated volume, the calculation gives 35.4 A^3/atom.

abc: 3.5047 3.5047 11.5329
angles: 90.00 90.00 90.00
Closest atoms and distances in Å follow each position.
Atoms (fractional coordinates):
Sr: 0.0000 0.0000 0.9909  4 Sr 3.50
Sr: 0.5000 0.5000 0.3022  4 Ta 3.44, 4 Sr 3.50
Ta: 0.0000 0.0000 0.5091  4 Ca 3.30, 4 Sr 3.44, 4 Ta 3.50
Ca: 0.5000 0.5000 0.6979  4 Ta 3.30, 4 Ca 3.50


This record from Alexandria via LeMat-Bulk describes an optimized crystal structure of SrCa3Ta. The functional is PBE.

Values from the calculation:
As for the total moment: 0.000 μB/cell. As for the energy above the most stable polymorph in this dataset: 1084 meV per atom. As for the total energy: -10.3 eV per cell. For the calculated volume, the calculation gives 34.4 A^3/atom.

abc: 5.5596 5.5596 5.5596
angles: 90.00 90.00 90.00
Closest atoms and distances in Å follow each position.
Atoms (fractional coordinates):
Sr: 0.0000 0.0000 0.0000  6 Ca 2.78
Ca: 0.0000 0.5000 0.0000  2 Sr 2.78
Ca: 0.0000 0.0000 0.5000  2 Sr 2.78
Ca: 0.5000 0.0000 0.0000  2 Sr 2.78
Ta: 0.5000 0.5000 0.5000  12 Ca 3.93


This record from Alexandria via LeMat-Bulk describes an optimized crystal structure of SrCa3Ta. The functional is PBE.

Values from the calculation:
As for the total moment: 0.000 μB/cell. As for the energy above the most stable polymorph in this dataset: 0 meV per atom. As for the total energy: -15.7 eV per cell. For the calculated volume, the calculation gives 39.4 A^3/atom.

abc: 5.8209 5.8209 5.8209
angles: 90.00 90.00 90.00
Closest atoms and distances in Å follow each position.
Atoms (fractional coordinates):
Sr: 0.5000 0.5000 0.5000  12 Ca 4.12
Ca: 0.5000 0.0000 0.0000  2 Ta 2.91
Ca: 0.0000 0.0000 0.5000  2 Ta 2.91
Ca: 0.0000 0.5000 0.0000  2 Ta 2.91
Ta: 0.0000 0.0000 0.0000  6 Ca 2.91